VASP calculation (GGA-PBE) on a relaxed Na2Er2UO6 crystal.

```
Na2Er2UO6
1.0
2.9695 -5.1903 0.0000
2.9695 5.1903 0.0000
-1.9261 0.0000 5.6228
Na Er U O
2 2 1 6
Cartesian
2.9695 3.3828 0.0000 Na
2.9695 -3.3828 0.0000 Na
2.0064 1.7206 2.8114 Er
2.0064 -1.7206 2.8114 Er
-0.9630 0.0000 2.8114 U
-0.0168 1.7908 3.9287 O
0.9190 0.0000 1.7238 O
-0.0168 -1.7908 3.9287 O
4.0296 1.7908 1.6941 O
3.0939 0.0000 3.8990 O
4.0296 -1.7908 1.6941 O
```

Output
ΔE_f (raw)	-2.86	eV/atom
symmetry	C2/m (12)


VASP calculation (GGA-PBE) on a relaxed La3CeTh4Se8 crystal.

```
La3CeTh4Se8
1.0
7.2882 -4.2126 0.0000
7.2882 4.2126 0.0000
-4.8533 0.0000 7.0335
La Ce Th Se
3 1 4 8
Cartesian
0.0000 0.0000 0.0000 La
3.6441 2.1063 0.0000 La
3.6441 -2.1063 0.0000 La
7.2882 0.0000 0.0000 Ce
-2.4267 0.0000 3.5167 Th
1.2174 2.1063 3.5167 Th
1.2174 -2.1063 3.5167 Th
4.8615 0.0000 3.5167 Th
2.4311 0.0000 1.7864 Se
0.0240 0.0000 5.2611 Se
3.6383 2.0896 5.2605 Se
6.0847 2.0896 1.7730 Se
3.6383 -2.0896 5.2605 Se
6.0847 -2.0896 1.7730 Se
9.6990 0.0000 1.7724 Se
7.2919 0.0000 5.2471 Se
```

Output
ΔE_f (raw)	-1.75	eV/atom
symmetry	C2/m (12)


VASP calculation (GGA-PBE) on a relaxed NaYHf crystal.

```
NaYHf
1.0
4.5439 -2.6238 0.0000
4.5439 2.6238 0.0000
-0.0073 0.0000 6.9940
Na Y Hf
2 2 2
Cartesian
0.0000 0.0000 0.0000 Na
6.0505 0.0000 6.9577 Na
3.0276 0.0000 1.9846 Y
6.0574 0.0000 3.6209 Y
-0.0008 0.0000 3.6657 Hf
3.0280 0.0000 4.9861 Hf
```

Output
calculated formation energy	8.9	kcal/mol of atoms
energy relative to the lowest polymorph listed for this composition	77.2	kJ/mol of formula units
symmetry	Cm (8)


VASP calculation (GGA-PBE) on a relaxed LaTb2CeNd crystal.

```
LaTb2CeNd
1.0
8.5577 0.0000 0.0000
0.0000 6.4233 0.0000
-0.8326 0.0000 6.1621
La Tb Ce Nd
2 4 2 2
Cartesian
0.0000 0.0000 0.0000 La
-0.4163 0.0000 3.0811 La
2.4757 2.0897 1.2901 Tb
2.0593 4.3336 4.3712 Tb
5.6657 2.0897 1.7909 Tb
5.2494 4.3336 4.8720 Tb
-0.6245 2.9212 4.6216 Ce
-0.2082 3.5021 1.5405 Ce
3.6544 1.0640 4.6216 Nd
4.0707 5.3593 1.5405 Nd
```

Output
calculated formation energy	6.2	kcal/mol of atoms
symmetry	P2/c (13)


VASP calculation (GGA-PBE) on a relaxed ReBi crystal.

```
ReBi
1.0
-5.6965 5.6965 1.9842
5.6965 -5.6965 1.9842
5.6965 5.6965 -1.9842
Re Bi
4 4
Cartesian
3.2561 2.2916 0.0000 Re
3.4049 -2.4404 1.9842 Re
2.2916 8.1369 0.0000 Re
2.4404 3.4049 1.9842 Re
8.1019 0.4107 0.0000 Bi
0.4107 3.2910 0.0000 Bi
5.2858 2.4054 1.9842 Bi
-2.4054 5.2858 1.9842 Bi
```

Output
calculated formation energy	22.9	kcal/mol of atoms
energy relative to the lowest polymorph listed for this composition	84.3	kJ/mol of formula units
symmetry	I4/m (87)


VASP calculation (GGA-PBE) on a relaxed CsPuZn2I8 crystal.

```
CsPuZn2I8
1.0
8.5107 0.0000 0.0000
-4.2553 7.3705 0.0000
0.0000 0.0000 10.3912
Cs Pu Zn I
1 1 2 8
Cartesian
0.0000 0.0000 0.0000 Cs
0.0000 0.0000 5.1956 Pu
0.0000 4.9137 2.2770 Zn
4.2554 2.4568 8.1142 Zn
0.0000 2.4229 3.2862 I
-2.1571 6.1590 3.2862 I
2.0983 1.2114 7.1050 I
0.0000 4.9137 10.1494 I
4.2554 2.4568 0.2418 I
2.1571 6.1590 3.2862 I
6.4124 1.2114 7.1050 I
4.2554 4.9476 7.1050 I
```

Output
ΔE_f (raw)	-0.82	eV/atom
symmetry	P-3m1 (164)


VASP calculation (GGA-PBE) on a relaxed KBe2Al crystal.

```
KBe2Al
1.0
2.7141 0.0000 0.0000
0.0000 3.5692 0.0000
-1.2971 0.0000 7.6567
K Be Al
1 2 1
Cartesian
0.0000 0.0000 0.0000 K
-0.0035 1.7846 4.8501 Be
1.3523 0.0000 4.5599 Be
1.3568 1.7846 2.7696 Al
```

Output
calculated formation energy	11.3	kcal/mol of atoms
symmetry	Pm (6)


VASP calculation (GGA-PBE) on a relaxed ScBe17Tc crystal.

```
ScBe17Tc
1.0
3.6826 2.1262 3.5854
-3.6826 2.1262 3.5854
0.0000 -4.2523 3.5854
Sc Be Tc
1 17 1
Cartesian
0.0000 0.0000 0.0000 Sc
0.0000 -2.0581 1.8524 Be
-1.7824 1.0291 1.8524 Be
-1.8542 -1.0705 5.3160 Be
0.0000 -2.1022 5.1952 Be
-1.8205 1.0511 5.1952 Be
-1.0601 -1.9013 7.1095 Be
-2.1767 0.0325 7.1095 Be
1.7824 1.0291 1.8524 Be
0.0000 0.0000 6.0104 Be
1.0602 -1.9013 7.1095 Be
-1.1165 1.8688 7.1095 Be
1.8542 -1.0705 5.3160 Be
0.0000 2.1411 5.3160 Be
0.0000 0.0000 8.1255 Be
1.8205 1.0511 5.1952 Be
2.1767 0.0325 7.1095 Be
1.1165 1.8688 7.1095 Be
0.0000 0.0000 3.5090 Tc
```

Output
calculated formation energy	-3.8	kcal/mol of atoms
symmetry	R3m (160)


VASP calculation (GGA-PBE) on a relaxed Mg2TaSi crystal.

```
Mg2TaSi
1.0
3.4680 0.0000 0.0000
0.0000 3.4680 0.0000
0.0000 0.0000 6.1277
Mg Ta Si
2 1 1
Cartesian
0.0000 0.0000 0.0000 Mg
1.7340 1.7340 1.6709 Mg
1.7340 1.7340 4.4907 Ta
0.0000 0.0000 3.4380 Si
```

Output
ΔE_f (raw)	0.06	eV/atom
symmetry	P4mm (99)


VASP calculation (GGA-PBE) on a relaxed KRbCd2Ni crystal.

```
KRbCd2Ni
1.0
5.2517 0.0000 0.0000
0.0000 5.2517 0.0000
0.0000 0.0000 5.8462
K Rb Cd Ni
1 1 2 1
Cartesian
0.0000 0.0000 0.0000 K
2.6259 2.6259 0.0000 Rb
0.0000 2.6259 2.9231 Cd
2.6259 0.0000 2.9231 Cd
0.0000 0.0000 2.9231 Ni
```

Output
calculated formation energy	3.1	kcal/mol of atoms
symmetry	P4/mmm (123)


VASP calculation (GGA-PBE) on a relaxed CeScAgGe crystal.

```
CeScAgGe
1.0
0.0000 3.5528 3.5528
3.5528 0.0000 3.5528
3.5528 3.5528 0.0000
Ce Sc Ag Ge
1 1 1 1
Cartesian
0.0000 0.0000 0.0000 Ce
3.5528 3.5528 3.5528 Sc
5.3292 5.3292 5.3292 Ag
1.7764 1.7764 1.7764 Ge
```

Output
calculated formation energy	-9.4	kcal/mol of atoms
symmetry	F-43m (216)


VASP calculation (GGA-PBE) on a relaxed CaHoZnRh crystal.

```
CaHoZnRh
1.0
0.0000 3.4954 3.4954
3.4954 0.0000 3.4954
3.4954 3.4954 0.0000
Ca Ho Zn Rh
1 1 1 1
Cartesian
0.0000 0.0000 0.0000 Ca
3.4954 3.4954 3.4954 Ho
1.7477 1.7477 1.7477 Zn
5.2431 5.2431 5.2431 Rh
```

Output
calculated formation energy	-10.1	kcal/mol of atoms
symmetry	F-43m (216)